The following is a PBE-GGA calculation of a relaxed NaMnFeCl5 crystal, from the Alexandria database.

It has space group C2/c (No. 15), with a = 9.602 Å, b = 10.107 Å, c = 10.196 Å, α = 90.00°, β = 115.73° and γ = 90.00°. The distinct sites, in fractional coordinates, are Na at (0.250, 0.250, 0.000), Mn at (0.000, 0.102, 0.250), Fe at (0.000, 0.424, 0.250), Cl at (0.000, 0.123, 0.750), Cl at (0.033, 0.264, 0.430) and Cl at (0.214, 0.454, 0.809).

As for the total energy: -0.16741 Ha/atom. For the formation energy without anion corrections, the calculation gives -1.032 eV per atom. Its volume is 222.8 Å³/f.u.

The following is a PBE-GGA calculation of a relaxed Th3Si4Ir2 crystal, from the Alexandria database.

It has space group C2/m (No. 12), with a = 11.161 Å, b = 4.217 Å, c = 8.263 Å, α = 90.00°, β = 109.32° and γ = 90.00°. The distinct sites, in fractional coordinates, are Th at (0.000, 0.000, 0.000), Th at (0.114, 0.500, 0.694), Si at (0.101, 0.000, 0.395), Si at (0.219, 0.500, 0.072) and Ir at (0.196, 0.500, 0.359).

As for the total energy: -0.28407 Ha/atom. For the formation energy without anion corrections, the calculation gives -0.877 eV per atom. As for the relative energy among the computed polymorphs: 108 meV/atom. Its volume is 183.5 Å³/f.u.

The following is a PBE-GGA calculation of a relaxed LuTi3 crystal, from the Alexandria database.

It has space group Pmm2 (No. 25), with a = 3.080 Å, b = 4.775 Å, c = 5.416 Å, α = 90.00°, β = 90.00° and γ = 90.00°. The distinct sites, in fractional coordinates, are Lu at (0.000, 0.000, 0.000), Ti at (0.000, 0.500, 0.653), Ti at (0.500, 0.000, 0.498) and Ti at (0.500, 0.500, 0.205).

As for the total energy: -0.25412 Ha/atom. As for the relative energy among the computed polymorphs: 0 meV/atom. Its formation energy is 0.14 eV/atom. Its volume is 79.6 Å³/f.u.

The following is a PBE-GGA calculation of a relaxed InGaI2 crystal, from the Alexandria database.

It has space group Pmc2_1 (No. 26), with a = 4.718 Å, b = 4.822 Å, c = 12.708 Å, α = 90.00°, β = 90.00° and γ = 90.00°. The distinct sites, in fractional coordinates, are In at (0.000, 0.235, 0.000), Ga at (0.500, 0.311, 0.207), I at (0.000, 0.246, 0.734) and I at (0.500, 0.258, 0.443).

As for the total energy: -0.09583 Ha/atom. For the formation energy without anion corrections, the calculation gives -0.391 eV per atom. As for the relative energy among the computed polymorphs: 5 meV/atom. Its volume is 144.5 Å³/f.u.

The following is a PBE-GGA calculation of a relaxed Pu crystal, from the Alexandria database.

It has space group P6_3/mmc (No. 194), with a = 2.7184 Å, b = 2.7184 Å, c = 5.9289 Å, α = 90.00°, β = 90.00° and γ = 120.00°. The distinct sites, in fractional coordinates, are Pu at (0.3333, 0.6667, 0.2500).

As for the total energy: -0.50516 Ha/atom. As for the relative energy among the computed polymorphs: 586 meV/atom. Its formation energy is 0.59 eV/atom. Its volume is 19.0 Å³/f.u.

The following is a PBE-GGA calculation of a relaxed In3GaSn2 crystal, from the Alexandria database.

It has space group Cmmm (No. 65), with a = 3.460 Å, b = 16.663 Å, c = 5.449 Å, α = 90.00°, β = 90.00° and γ = 90.00°. The distinct sites, in fractional coordinates, are In at (0.000, 0.000, 0.000), In at (0.000, 0.334, 0.000), Ga at (0.000, 0.500, 0.500) and Sn at (0.000, 0.159, 0.500).

As for the total energy: -0.11612 Ha/atom. Its formation energy is 0.05 eV/atom. Its volume is 157.1 Å³/f.u.

The following is a PBE-GGA calculation of a relaxed Tc2AgHg crystal, from the Alexandria database.

It has space group R3m (No. 160, hexagonal axes), with a = 2.8555 Å, b = 2.8555 Å, c = 28.8959 Å, α = 90.00°, β = 90.00° and γ = 120.00°. The distinct sites, in fractional coordinates, are Tc at (0.0000, 0.0000, 0.0000), Tc at (0.0000, 0.0000, 0.2644), Ag at (0.0000, 0.0000, 0.5124) and Hg at (0.0000, 0.0000, 0.7555).

As for the total energy: -0.21105 Ha/atom. Its formation energy is 0.23 eV/atom. Its volume is 68.0 Å³/f.u.

The following is a PBE-GGA calculation of a relaxed ZrTl2RuBr crystal, from the Alexandria database.

It has space group P4/mmm (No. 123), with a = 5.355 Å, b = 5.355 Å, c = 4.895 Å, α = 90.00°, β = 90.00° and γ = 90.00°. The distinct sites, in fractional coordinates, are Zr at (0.000, 0.000, 0.000), Tl at (0.000, 0.500, 0.500), Ru at (0.000, 0.000, 0.500) and Br at (0.500, 0.500, 0.000).

As for the total energy: -0.17707 Ha/atom. For the formation energy without anion corrections, the calculation gives 0.028 eV per atom. Its volume is 140.3 Å³/f.u.

The following is a PBE-GGA calculation of a relaxed Zn2CdCu crystal, from the Alexandria database.

It has space group R3m (No. 160, hexagonal axes), with a = 4.2427 Å, b = 4.2427 Å, c = 13.2958 Å, α = 90.00°, β = 90.00° and γ = 120.00°. The distinct sites, in fractional coordinates, are Zn at (0.0000, 0.0000, 0.0000), Zn at (0.0000, 0.0000, 0.2327), Cd at (0.0000, 0.0000, 0.4467) and Cu at (0.0000, 0.0000, 0.6459).

As for the total energy: -0.06722 Ha/atom. Its formation energy is 0.06 eV/atom. Its volume is 69.1 Å³/f.u.

The following is a PBE-GGA calculation of a relaxed TcPb3 crystal, from the Alexandria database.

It has space group Pm-3m (No. 221), with a = 4.728 Å, b = 4.728 Å, c = 4.728 Å, α = 90.00°, β = 90.00° and γ = 90.00°. The distinct sites, in fractional coordinates, are Tc at (0.000, 0.000, 0.000) and Pb at (0.000, 0.500, 0.500).

As for the total energy: -0.17083 Ha/atom. As for the relative energy among the computed polymorphs: 418 meV/atom. Its formation energy is 0.72 eV/atom. Its volume is 105.7 Å³/f.u.

The following is a PBE-GGA calculation of a relaxed TaMo crystal, from the Alexandria database.

It has space group P4/mmm (No. 123), with a = 3.225 Å, b = 3.225 Å, c = 9.759 Å, α = 90.00°, β = 90.00° and γ = 90.00°. The distinct sites, in fractional coordinates, are Ta at (0.000, 0.000, 0.000), Ta at (0.500, 0.500, 0.176), Mo at (0.000, 0.000, 0.340) and Mo at (0.500, 0.500, 0.500).

As for the total energy: -0.42061 Ha/atom. Its formation energy is -0.10 eV/atom. Its volume is 33.8 Å³/f.u.

The following is a PBE-GGA calculation of a relaxed UTl2Te4Au2 crystal, from the Alexandria database.

It has space group C2/m (No. 12), with a = 15.728 Å, b = 4.396 Å, c = 8.601 Å, α = 90.00°, β = 109.60° and γ = 90.00°. The distinct sites, in fractional coordinates, are U at (0.000, 0.000, 0.000), Tl at (0.134, 0.000, 0.589), Te at (0.011, 0.500, 0.754), Te at (0.200, 0.000, 0.212) and Au at (0.180, 0.500, 0.992).

As for the total energy: -0.15690 Ha/atom. For the formation energy without anion corrections, the calculation gives -0.365 eV per atom. Its volume is 280.1 Å³/f.u.